Compound: Y2Ag
Source: Alexandria
Functional: GGA-PBE
Structure: relaxed

Output
DOS at the Fermi energy: 3.95 states/eV/f.u.
Total moment: 0.0 Bohr magnetons per cell
Calculated formation energy: 81 meV per atom
Space-group type: Pnnm, No. 58

The structure in POSCAR format:
```
Y2Ag
1.0
3.714 0.000 0.000
0.000 7.197 0.000
0.000 0.000 6.938
Y Ag
4 2
Cartesian
0.000 1.524 2.430 Y
1.857 2.075 5.899 Y
0.000 5.673 4.508 Y
1.857 5.122 1.039 Y
1.857 3.598 3.469 Ag
0.000 0.000 0.000 Ag
```